Entry from Alexandria: an optimized crystal structure of ZrMoNF2 (PBE with a Hubbard U).

Cell lengths 4.2838, 4.2838, 4.2642 Å; angles 90.00, 90.00, 90.00 degrees
Closest atoms and distances in Å follow each position.
Positions (direct):
Zr: 0.0000 0.0000 0.0000  2 N 2.13, 4 F 2.14
Mo: 0.5000 0.5000 0.5000  8 F 3.02, 4 N 3.03
N: 0.0000 0.0000 0.5000  2 Zr 2.13
F: 0.0000 0.5000 0.0000  2 Zr 2.14
F: 0.5000 0.0000 0.0000  2 Zr 2.14

Properties
total magnetic moment	5.0	μB per cell
ΔE to the lowest computed polymorph	0	meV per atom
VASP energy	-34.27	eV/cell